Entry from Alexandria via LeMat-Bulk: an optimized crystal structure of HfNb (PBE).

The space group is Pm-3m (No. 221) and the conventional cell measures 3.417, 3.417 and 3.417 Å, with angles of 90.00, 90.00 and 90.00 degrees. Symmetry generates all atoms from Hf at (0.000, 0.000, 0.000) and Nb at (0.500, 0.500, 0.500).

For the density of states at the Fermi level, the calculation gives 1.798 states/eV per atom. For the energy relative to the elements, the calculation gives 0.104 eV/atom.



Entry from Alexandria via LeMat-Bulk: an optimized crystal structure of HfNb (PBE).

The space group is P6_3/m (No. 176) and the conventional cell measures 10.1552, 10.1552 and 2.9312 Å, with angles of 90.00, 90.00 and 120.00 degrees. Symmetry generates all atoms from Hf at (0.0584, 0.7631, 0.2500) and Nb at (0.1469, 0.5277, 0.2500).

For the density of states at the Fermi level, the calculation gives 1.511 states/eV per atom. For the energy relative to the elements, the calculation gives 0.468 eV/atom.



Entry from Alexandria via LeMat-Bulk: an optimized crystal structure of Hf3Nb (PBE).

The space group is Cmcm (No. 63) and the conventional cell measures 10.009, 9.974 and 3.402 Å, with angles of 90.00, 90.00 and 90.00 degrees. Symmetry generates all atoms from Hf at (0.000, 0.139, 0.250), Hf at (0.236, 0.374, 0.250) and Nb at (0.000, 0.391, 0.750).

For the density of states at the Fermi level, the calculation gives 1.412 states/eV per atom. For the energy relative to the elements, the calculation gives 0.076 eV/atom.



Look up the energy relative to the elements of the third one. 0.076 eV/atom